[1]
This record from Alexandria via LeMat-Bulk describes a geometry-optimized CaP5 structure. The functional is GGA-PBE.

Values from the calculation:
total magnetic moment: 0.00 μB per cell
calculated total energy: -4.692 eV per atom
ΔE_f: 149 meV per atom

a = 5.4434 Å, b = 5.4434 Å, c = 5.4434 Å
α = 60.00°, β = 60.00°, γ = 60.00°
Last column: nearest neighbours and their distance in Å.
Positions (direct):
P  0.6042  0.6042  0.1875  3 P 2.27
Ca  0.0000  0.0000  0.0000  16 P 3.25-3.33
P  0.1875  0.6042  0.6042  3 P 2.27
P  0.2500  0.2500  0.2500  12 P 3.15, 4 Ca 3.33
P  0.6042  0.6042  0.6042  3 P 2.27
P  0.6042  0.1875  0.6042  3 P 2.27


[2]
This record from Alexandria via LeMat-Bulk describes a geometry-optimized Ca3P2 structure. The functional is GGA-PBE.

Values from the calculation:
total magnetic moment: 0.00 μB per cell
calculated total energy: -4.095 eV per atom
ΔE_f: -730 meV per atom
relative energy among the computed polymorphs: 38.9 kJ per mole of atoms

a = 5.3023 Å, b = 5.3023 Å, c = 5.3023 Å
α = 90.00°, β = 90.00°, γ = 90.00°
Last column: nearest neighbours and their distance in Å.
Positions (direct):
P  0.5000  0.5000  0.5000  6 Ca 2.65
Ca  0.0000  0.5000  0.5000  2 P 2.65
Ca  0.5000  0.5000  0.0000  2 P 2.65
P  0.0000  0.0000  0.0000  12 Ca 3.75
Ca  0.5000  0.0000  0.5000  2 P 2.65


[3]
This record from Alexandria via LeMat-Bulk describes a geometry-optimized Ca3P structure. The functional is GGA-PBE.

Values from the calculation:
total magnetic moment: 0.00 μB per cell
calculated total energy: -3.239 eV per atom
ΔE_f: -385 meV per atom
relative energy among the computed polymorphs: 23.7 kJ per mole of atoms

a = 11.5110 Å, b = 11.5110 Å, c = 11.5110 Å
α = 156.91°, β = 156.91°, γ = 32.88°
Last column: nearest neighbours and their distance in Å.
Positions (direct):
Ca  0.8810  0.8810  0.0000  4 P 3.30, 4 Ca 3.49
Ca  0.0000  0.5000  0.5000  4 P 3.12, 4 Ca 3.26
P  0.4049  0.4049  0.0000  8 Ca 3.12-3.30
Ca  0.7500  0.2500  0.5000  4 Ca 3.26
Ca  0.5000  0.0000  0.5000  4 P 3.12, 4 Ca 3.26
Ca  0.2500  0.7500  0.5000  4 Ca 3.26
P  0.5951  0.5951  0.0000  8 Ca 3.12-3.30
Ca  0.1190  0.1190  0.0000  4 P 3.30, 4 Ca 3.49


[4]
This record from Alexandria via LeMat-Bulk describes a geometry-optimized Ca2P structure. The functional is GGA-PBE.

Values from the calculation:
total magnetic moment: 1.54 μB per cell
calculated total energy: -3.892 eV per atom
ΔE_f: -754 meV per atom

a = 6.0099 Å, b = 6.0099 Å, c = 6.0099 Å
α = 112.15°, β = 112.15°, γ = 104.24°
Last column: nearest neighbours and their distance in Å.
Positions (direct):
P  0.2500  0.2500  0.0000  8 Ca 3.02
Ca  0.2766  0.7766  0.0533  4 P 3.02, 4 Ca 3.37
Ca  0.7766  0.7234  0.5000  4 P 3.02, 4 Ca 3.37
P  0.7500  0.7500  0.0000  8 Ca 3.02
Ca  0.2234  0.2766  0.5000  4 P 3.02, 4 Ca 3.37
Ca  0.7234  0.2234  0.9467  4 P 3.02, 4 Ca 3.37


[5]
This record from Alexandria via LeMat-Bulk describes a geometry-optimized Ca3P structure. The functional is GGA-PBE.

Values from the calculation:
total magnetic moment: 0.00 μB per cell
calculated total energy: -3.164 eV per atom
ΔE_f: -310 meV per atom
relative energy among the computed polymorphs: 30.9 kJ per mole of atoms

a = 6.7949 Å, b = 6.7949 Å, c = 5.3872 Å
α = 90.00°, β = 90.00°, γ = 120.00°
Last column: nearest neighbours and their distance in Å.
Positions (direct):
Ca  0.3466  0.1733  0.2500  8 Ca 3.26-3.53, 4 P 3.29-3.40
Ca  0.6534  0.8267  0.7500  8 Ca 3.26-3.53, 4 P 3.29-3.40
Ca  0.1733  0.8267  0.7500  8 Ca 3.26-3.53, 4 P 3.29-3.40
Ca  0.8267  0.6534  0.2500  8 Ca 3.26-3.53, 4 P 3.29-3.40
P  0.6667  0.3333  0.7500  12 Ca 3.29-3.40
Ca  0.1733  0.3466  0.7500  8 Ca 3.26-3.53, 4 P 3.29-3.40
Ca  0.8267  0.1733  0.2500  8 Ca 3.26-3.53, 4 P 3.29-3.40
P  0.3333  0.6667  0.2500  12 Ca 3.29-3.40


[6]
This record from Alexandria via LeMat-Bulk describes a geometry-optimized Ca5PaP5 structure. The functional is GGA-PBE.

Values from the calculation:
total magnetic moment: 0.00 μB per cell
calculated total energy: -5.395 eV per atom
ΔE_f: -1163 meV per atom

a = 5.7038 Å, b = 7.2387 Å, c = 8.1881 Å
α = 106.93°, β = 90.00°, γ = 113.20°
Last column: nearest neighbours and their distance in Å.
Positions (direct):
P  0.5000  0.0000  0.0000  2 Pa 2.85, 4 Ca 2.97-3.02
Ca  0.0000  0.0000  0.5000  4 P 2.79-2.91
Ca  0.6795  0.3590  0.8576  5 P 2.85-2.98
P  0.8519  0.7039  0.1709  1 Pa 2.75, 5 Ca 2.79-2.88
P  0.1481  0.2961  0.8291  1 Pa 2.75, 5 Ca 2.79-2.88
Ca  0.3205  0.6410  0.1424  5 P 2.85-2.98
Pa  0.0000  0.0000  0.0000  6 P 2.75-2.85
Ca  0.6882  0.3763  0.3255  5 P 2.85-3.02
P  0.1578  0.3157  0.3221  1 Pa 2.80, 5 Ca 2.88-2.98
Ca  0.3118  0.6237  0.6745  5 P 2.85-3.02
P  0.8422  0.6843  0.6779  1 Pa 2.80, 5 Ca 2.88-2.98


[7]
This record from Alexandria via LeMat-Bulk describes a geometry-optimized Ca3PaP4 structure. The functional is GGA-PBE.

Values from the calculation:
total magnetic moment: 0.00 μB per cell
calculated total energy: -5.763 eV per atom
ΔE_f: -1121 meV per atom

a = 7.1466 Å, b = 7.0809 Å, c = 8.2233 Å
α = 90.00°, β = 90.00°, γ = 109.92°
Last column: nearest neighbours and their distance in Å.
Positions (direct):
P  0.9842  0.2422  0.6374  1 Pa 2.73, 5 Ca 2.87-3.01
Pa  0.7500  0.0000  0.8700  6 P 2.73-2.79
P  0.0014  0.2262  0.1114  2 Pa 2.77-2.79, 4 Ca 2.90-3.07
P  0.9986  0.7738  0.8886  2 Pa 2.77-2.79, 4 Ca 2.90-3.07
P  0.4842  0.2422  0.3626  1 Pa 2.73, 5 Ca 2.87-3.01
P  0.4986  0.7738  0.1114  2 Pa 2.77-2.79, 4 Ca 2.90-3.07
Ca  0.2500  0.5000  0.3793  6 P 2.87-3.07
P  0.5158  0.7578  0.6374  1 Pa 2.73, 5 Ca 2.87-3.01
Ca  0.2500  0.0000  0.6246  6 P 2.90-2.96
Ca  0.7500  0.5000  0.6207  6 P 2.87-3.07
P  0.0158  0.7578  0.3626  1 Pa 2.73, 5 Ca 2.87-3.01
Ca  0.2500  0.5000  0.8733  6 P 2.89-3.06
Ca  0.7500  0.0000  0.3754  6 P 2.90-2.96
P  0.5014  0.2262  0.8886  2 Pa 2.77-2.79, 4 Ca 2.90-3.07
Pa  0.2500  0.0000  0.1300  6 P 2.73-2.79
Ca  0.7500  0.5000  0.1267  6 P 2.89-3.06


[8]
This record from Alexandria via LeMat-Bulk describes a geometry-optimized Ca2PaP3 structure. The functional is GGA-PBE.

Values from the calculation:
total magnetic moment: 0.00 μB per cell
calculated total energy: -6.222 eV per atom
ΔE_f: -1267 meV per atom

a = 7.1123 Å, b = 7.1123 Å, c = 7.0503 Å
α = 99.70°, β = 99.70°, γ = 119.99°
Last column: nearest neighbours and their distance in Å.
Positions (direct):
P  0.0596  0.3929  0.2316  2 Pa 2.78, 4 Ca 2.87-2.98
Pa  0.0007  0.9993  0.0000  6 P 2.76-2.78
P  0.7617  0.7436  0.2297  2 Pa 2.76-2.77, 4 Ca 2.90-3.03
Ca  0.1706  0.8294  0.5000  6 P 2.90-3.03
P  0.2564  0.2383  0.7703  2 Pa 2.76-2.77, 4 Ca 2.90-3.03
Ca  0.3333  0.6667  0.0000  6 P 2.93
P  0.6071  0.9404  0.7684  2 Pa 2.78, 4 Ca 2.87-2.98
Ca  0.4960  0.5040  0.5000  6 P 2.90-3.03
P  0.9050  0.5897  0.7703  2 Pa 2.76-2.77, 4 Ca 2.90-3.03
Ca  0.8333  0.1667  0.5000  6 P 2.87-3.03
P  0.4103  0.0950  0.2297  2 Pa 2.76-2.77, 4 Ca 2.90-3.03
Pa  0.6660  0.3340  0.0000  6 P 2.76-2.78


- What is the total magnetic moment in the sixth record?
  0.00 μB per cell